--- A ---
# Cd2Si2Au | Alexandria via LeMat-Bulk | GGA-PBE | relaxed
# **Total magnetic moment**: 0.000 μB per atom
# **Calculated density**: 7.63 g/cm3
# **Calculated volume**: 207.9 Å³ per cell
# **D(E_F)**: 0.42 states/eV per atom
data_Cd2Si2Au
_symmetry_space_group_name_H-M 'I 4/m m m'
_symmetry_Int_Tables_number 139
_symmetry_space_group_name_Hall '-I 4 2'
_cell_length_a 4.318
_cell_length_b 4.318
_cell_length_c 11.152
_cell_angle_alpha 90.00
_cell_angle_beta 90.00
_cell_angle_gamma 90.00
loop_
_atom_site_label
_atom_site_type_symbol
_atom_site_fract_x
_atom_site_fract_y
_atom_site_fract_z
Cd1 Cd 0.000 0.500 0.250
Si1 Si 0.000 0.000 0.101
Au1 Au 0.000 0.000 0.500

--- B ---
# Cd2Si2Au | Alexandria via LeMat-Bulk | GGA-PBE | relaxed
# **Total magnetic moment**: 0.000 μB per atom
# **Calculated density**: 7.37 g/cm3
# **Calculated volume**: 215.3 Å³ per cell
# **D(E_F)**: 0.39 states/eV per atom
data_Cd2Si2Au
_symmetry_space_group_name_H-M 'P 4/m b m'
_symmetry_Int_Tables_number 127
_symmetry_space_group_name_Hall '-P 4 2ab'
_cell_length_a 7.496
_cell_length_b 7.496
_cell_length_c 3.832
_cell_angle_alpha 90.00
_cell_angle_beta 90.00
_cell_angle_gamma 90.00
loop_
_atom_site_label
_atom_site_type_symbol
_atom_site_fract_x
_atom_site_fract_y
_atom_site_fract_z
Cd1 Cd 0.180 0.320 0.000
Si1 Si 0.112 0.612 0.500
Au1 Au 0.000 0.000 0.000

--- C ---
# Cd2Si2Au | Alexandria via LeMat-Bulk | GGA-PBE | relaxed
# **Total magnetic moment**: 0.000 μB per atom
# **Calculated density**: 7.78 g/cm3
# **Calculated volume**: 204.0 Å³ per cell
# **D(E_F)**: 0.40 states/eV per atom
data_Cd2Si2Au
_symmetry_space_group_name_H-M 'P 4/m b m'
_symmetry_Int_Tables_number 127
_symmetry_space_group_name_Hall '-P 4 2ab'
_cell_length_a 6.268
_cell_length_b 6.268
_cell_length_c 5.194
_cell_angle_alpha 90.00
_cell_angle_beta 90.00
_cell_angle_gamma 90.00
loop_
_atom_site_label
_atom_site_type_symbol
_atom_site_fract_x
_atom_site_fract_y
_atom_site_fract_z
Cd1 Cd 0.181 0.319 0.000
Si1 Si 0.133 0.633 0.500
Au1 Au 0.000 0.000 0.500

From most stable to least stable, the computed energies give C, B, A.

--- A ---
# Cd2SiAu2 | Alexandria via LeMat-Bulk | GGA-PBE | relaxed
# **Total magnetic moment**: 0.000 μB per atom
# **Calculated density**: 10.20 g/cm3
# **Calculated volume**: 210.6 Å³ per cell
# **D(E_F)**: 0.28 states/eV per atom
data_Cd2SiAu2
_symmetry_space_group_name_H-M 'I 4/m m m'
_symmetry_Int_Tables_number 139
_symmetry_space_group_name_Hall '-I 4 2'
_cell_length_a 3.910
_cell_length_b 3.910
_cell_length_c 13.776
_cell_angle_alpha 90.00
_cell_angle_beta 90.00
_cell_angle_gamma 90.00
loop_
_atom_site_label
_atom_site_type_symbol
_atom_site_fract_x
_atom_site_fract_y
_atom_site_fract_z
Cd1 Cd 0.000 0.500 0.250
Si1 Si 0.000 0.000 0.000
Au1 Au 0.000 0.000 0.404

--- B ---
# Cd2SiAu2 | Alexandria via LeMat-Bulk | GGA-PBE | relaxed
# **Total magnetic moment**: 0.000 μB per atom
# **Calculated density**: 10.48 g/cm3
# **Calculated volume**: 204.9 Å³ per cell
# **D(E_F)**: 0.32 states/eV per atom
data_Cd2SiAu2
_symmetry_space_group_name_H-M 'P 4/m b m'
_symmetry_Int_Tables_number 127
_symmetry_space_group_name_Hall '-P 4 2ab'
_cell_length_a 8.340
_cell_length_b 8.340
_cell_length_c 2.946
_cell_angle_alpha 90.00
_cell_angle_beta 90.00
_cell_angle_gamma 90.00
loop_
_atom_site_label
_atom_site_type_symbol
_atom_site_fract_x
_atom_site_fract_y
_atom_site_fract_z
Cd1 Cd 0.132 0.368 0.000
Si1 Si 0.000 0.000 0.000
Au1 Au 0.166 0.666 0.500

From most stable to least stable, the computed energies give B, A.